Below is a relaxed CePt2 crystal, with properties calculated at the PBE level.

Unit cell a=5.491 b=5.491 c=5.491 alpha=60.00 beta=60.00 gamma=60.00
Last column: magnetic moment on the atom in μB.
Positions (direct):
1 Ce 0.750 0.750 0.750  0.71
2 Ce 0.500 0.500 0.500  0.71
3 Pt 0.125 0.125 0.625  -0.03
4 Pt 0.125 0.125 0.125  -0.03
5 Pt 0.625 0.125 0.125  -0.03
6 Pt 0.125 0.625 0.125  -0.03

Properties
Its crystal system is cubic. The formation enthalpy at 0 K comes out at -3.063 eV/f.u. For the calculated volume, the calculation gives 19.5 A^3/atom.